Here is Cs3WF6 after structural relaxation from Alexandria via LeMat-Bulk. Energies are from PBE+U.

It has space group P4/mnc (No. 128), with a = 6.864 Å, b = 6.864 Å, c = 10.030 Å, α = 90.00°, β = 90.00° and γ = 90.00°. Symmetry generates all atoms from Cs at (0.000, 0.000, 0.000), Cs at (0.000, 0.500, 0.250), W at (0.000, 0.000, 0.500), F at (0.000, 0.000, 0.287) and F at (0.137, 0.278, 0.500).

The calculation puts the size of the total moment at 6.00 μB/cell. As for the total energy: -4.8614 eV/atom.